TiGe2Rh: relaxed, GGA-PBE.

```
TiGe2Rh
1.0
4.1016 0.0000 0.0000
0.0000 4.1016 0.0000
0.0000 0.0000 3.6175
Ti Ge Rh
1 2 1
Direct
0.0000 0.0000 0.0000 Ti
0.0000 0.5000 0.5000 Ge
0.5000 0.0000 0.5000 Ge
0.5000 0.5000 0.0000 Rh
```

Properties
E_form = -41.9 kJ per mole of atoms
Magnetization = 0.0 μB/f.u.
D(E_F) = 3.0 states/eV/f.u.

=====

CuSiHg2: relaxed, GGA-PBE.

```
CuSiHg2
1.0
4.2945 0.0000 0.0000
0.0000 4.2945 0.0000
0.0000 0.0000 17.8004
Cu Si Hg
4 4 8
Direct
0.0000 0.0000 0.0000 Cu
0.0000 0.5000 0.2500 Cu
0.5000 0.0000 0.7500 Cu
0.5000 0.5000 0.5000 Cu
0.0000 0.0000 0.5000 Si
0.0000 0.5000 0.7500 Si
0.5000 0.0000 0.2500 Si
0.5000 0.5000 0.0000 Si
0.2440 0.2500 0.1250 Hg
0.2500 0.7440 0.3750 Hg
0.2500 0.7560 0.8750 Hg
0.2560 0.2500 0.6250 Hg
0.7440 0.7500 0.6250 Hg
0.7500 0.2440 0.8750 Hg
0.7500 0.2560 0.3750 Hg
0.7560 0.7500 0.1250 Hg
```

Properties
Magnetization = 0.0 μB/f.u.
D(E_F) = 1.8 states/eV/f.u.
Raw formation energy = 43.26 kJ per mole of atoms